Material: BaNa2Tl2Pb2
Method: DFT, PBE-GGA
State: relaxed

abc: 5.3909 5.3909 26.7195
angles: 90.00 90.00 120.00
Last column: nearest neighbours and their distance in Å.
Space group R-3m (No. 166, hexagonal axes)
Unique sites:
Ba (0.0000, 0.0000, 0.0000) x3  6 Tl 3.51, 2 Na 3.90
Na (0.0000, 0.0000, 0.1459) x6  3 Na 3.31, 3 Pb 3.34, 1 Tl 3.38
Tl (0.0000, 0.0000, 0.2725) x6  3 Pb 3.29, 1 Na 3.38, 3 Ba 3.51
Pb (0.0000, 0.0000, 0.4338) x6  3 Tl 3.29, 3 Na 3.34, 1 Pb 3.54

Results
- Total magnetic moment: 0.0 μB/f.u.
- ΔE_f: -24.0 kJ/mol of atoms